Compound: GdMoClO4
Source: Alexandria
Functional: SCAN
Structure: PBEsol geometry

The value obtained for the total DFT energy (no corrections) is -581.83 eV for the cell shown. The calculation puts the total moment at 27.96 Bohr magnetons per cell.

It has space group C2/m (No. 12), with a = 10.2419 Å, b = 7.3083 Å, c = 6.8381 Å, α = 90.00°, β = 107.24° and γ = 90.00°. Symmetry generates all atoms from Gd at (0.2216, 0.0000, 0.1108), Mo at (0.1379, 0.5000, 0.2672), Cl at (0.0092, 0.0000, 0.7632), O at (0.0406, 0.5000, 0.7983), O at (0.1991, 0.3116, 0.1531) and O at (0.2057, 0.5000, 0.5321).